Computed, not measured: DyHoCd6 after structural relaxation at the PBE level of DFT.

Calculated values
Size of the total moment in μB per atom: 0.000
Energy relative to the elements in eV/f.u.: -2.2

Lattice parameters (Å, degrees): 4.8794 6.5047 6.5047 66.69 90.00 90.00
Sites, in units of the cell vectors:
Dy1 0.0000 0.0000 0.0000
Ho1 0.5000 0.7300 0.7300
Cd1 0.0000 0.0533 0.4876
Cd2 0.0000 0.4876 0.0533
Cd3 0.0000 0.5401 0.5401
Cd4 0.5000 0.1906 0.1906
Cd5 0.5000 0.2428 0.6762
Cd6 0.5000 0.6762 0.2428